Material: Pr3Nd3Au4
Method: DFT, PBE
State: relaxed

For the total energy, the calculation gives -0.1765 Ha/atom. For the formation energy, the calculation gives -0.63 eV/atom.

It has space group Amm2 (No. 38), with a = 3.948 Å, b = 11.994 Å, c = 11.944 Å, α = 90.00°, β = 90.00° and γ = 90.00°. The distinct sites, in fractional coordinates, are Pr at (0.000, 0.000, 0.000), Pr at (0.000, 0.165, 0.337), Nd at (0.000, 0.000, 0.670), Nd at (0.500, 0.250, 0.086), Au at (0.500, 0.000, 0.208), Au at (0.500, 0.000, 0.465) and Au at (0.500, 0.128, 0.834).

***

Material: Pr2NdAu
Method: DFT, PBE
State: relaxed

For the total energy, the calculation gives -0.1759 Ha/atom. For the formation energy, the calculation gives -0.38 eV/atom. Its energy above the most stable polymorph in this dataset is 0.00 kcal/mol of atoms.

It has space group Pnma (No. 62), with a = 7.249 Å, b = 10.389 Å, c = 6.796 Å, α = 90.00°, β = 90.00° and γ = 90.00°. The distinct sites, in fractional coordinates, are Pr at (0.194, 0.053, 0.175), Nd at (0.015, 0.250, 0.635) and Au at (0.104, 0.750, 0.934).

***

| no. | V (A^3/atom) | DOS(E_F) (states/eV per cell) |
| --- | --- | --- |
| 1 | 28.28 | 21.6 |
| 2 | 31.99 | 16.4 |